No. 1
Ta3ReO | the Alexandria database | PBE | optimized geometry; formation energy without anion corrections = 1.7295 eV/atom; distance to the lowest polymorph of the same formula = 2.2157 eV/atom; SG = Pm-3m (221); uncorrected energy = -8.8633 eV per atom
1.0
-2.628 0.379 4.064
-2.264 -4.157 -1.076
3.396 -2.478 2.427
O Ta Re
1 3 1
Direct
0.500 0.500 0.500
0.500 0.000 0.000
0.000 0.000 0.500
0.000 0.500 0.000
0.000 0.000 0.000

=====

No. 2
TaRe2O | the Alexandria database | PBE | optimized geometry; formation energy without anion corrections = 0.0984 eV/atom; distance to the lowest polymorph of the same formula = 0.0000 eV/atom; SG = I-42d (122); uncorrected energy = -10.3283 eV per atom
1.0
-6.358 -1.971 1.082
2.076 -6.392 0.560
-1.824 -3.865 3.256
Re O Ta
4 2 2
Direct
0.375 0.465 0.750
0.875 0.785 0.750
0.215 0.625 0.250
0.535 0.125 0.250
0.500 0.500 0.000
0.250 0.750 0.500
0.000 0.000 0.000
0.750 0.250 0.500

=====

No. 3
TaReO3 | the Alexandria database | PBE | optimized geometry; formation energy without anion corrections = -0.2470 eV/atom; SG = Pm-3m (221); uncorrected energy = -8.0820 eV per atom
1.0
-3.331 1.884 -0.780
-1.978 -2.622 2.113
0.495 2.197 3.190
O Re Ta
3 1 1
Direct
0.000 0.500 0.000
0.000 0.000 0.500
0.500 0.000 0.000
0.000 0.000 0.000
0.500 0.500 0.500

=====

No. 4
TaRe3O | the Alexandria database | PBE | optimized geometry; formation energy without anion corrections = 3.0489 eV/atom; distance to the lowest polymorph of the same formula = 2.8957 eV/atom; SG = Pm-3m (221); uncorrected energy = -7.7822 eV per atom
1.0
4.809 0.000 0.000
0.000 4.809 0.000
0.000 0.000 4.809
Re O Ta
3 1 1
Direct
0.000 0.000 0.500
0.000 0.500 0.000
0.500 0.000 0.000
0.500 0.500 0.500
0.000 0.000 0.000

=====

No. 5
TaRe2O | the Alexandria database | PBE | optimized geometry; formation energy without anion corrections = 0.8095 eV/atom; distance to the lowest polymorph of the same formula = 0.7110 eV/atom; SG = Fm-3m (225); uncorrected energy = -9.6173 eV per atom
1.0
3.229 1.124 2.713
1.061 4.203 0.507
-0.910 2.044 3.747
O Re Ta
1 2 1
Direct
0.000 0.000 0.000
0.750 0.750 0.750
0.250 0.250 0.250
0.500 0.500 0.500

=====

No. 6
Ta2ReO | the Alexandria database | PBE | optimized geometry; formation energy without anion corrections = 0.1990 eV/atom; distance to the lowest polymorph of the same formula = 0.6126 eV/atom; SG = Fm-3m (225); uncorrected energy = -10.0789 eV per atom
1.0
0.000 3.120 3.120
3.120 0.000 3.120
3.120 3.120 0.000
O Re Ta
1 1 2
Direct
0.000 0.000 0.000
0.500 0.500 0.500
0.750 0.750 0.750
0.250 0.250 0.250

=====

No. 7
Ta2ReO | the Alexandria database | PBE | optimized geometry; formation energy without anion corrections = -0.4136 eV/atom; distance to the lowest polymorph of the same formula = 0.0000 eV/atom; SG = I-42d (122); uncorrected energy = -10.6915 eV per atom
1.0
6.172 0.000 0.000
0.000 6.172 0.000
3.086 3.086 3.289
Ta Re O
4 2 2
Direct
0.550 0.125 0.250
0.875 0.800 0.750
0.200 0.625 0.250
0.375 0.450 0.750
0.750 0.250 0.500
0.000 0.000 0.000
0.250 0.750 0.500
0.500 0.500 0.000

=====

No. 8
TaRe4O2 | the Alexandria database | PBE | optimized geometry; formation energy without anion corrections = 1.9262 eV/atom; SG = I4/mmm (139); uncorrected energy = -8.2968 eV per atom
1.0
4.728 0.000 0.000
0.000 4.728 0.000
2.364 2.364 5.517
O Re Ta
2 4 1
Direct
0.399 0.399 0.201
0.601 0.601 0.799
0.500 0.000 0.000
0.231 0.231 0.537
0.769 0.769 0.463
0.000 0.500 0.000
0.000 0.000 0.000

=====

Q: Which of these has the lowest formation energy without anion corrections?
A: number 7